This record from Alexandria via LeMat-Bulk describes a relaxed TiPPb2C crystal. The functional is PBE. Values from VASP.

The structure in Quantum ESPRESSO input format:
```
&SYSTEM
  ibrav = 0, nat = 5, ntyp = 4
/
ATOMIC_SPECIES
Pb 207.20 Pb.upf
C 12.01 C.upf
P 30.97 P.upf
Ti 47.87 Ti.upf
CELL_PARAMETERS angstrom
5.466 0.000 0.000
0.000 3.456 0.000
0.000 0.000 5.466
ATOMIC_POSITIONS crystal
Pb 0.000 0.000 0.500
C 0.000 0.000 0.000
P 0.000 0.500 0.000
Ti 0.500 0.500 0.500
Pb 0.500 0.000 0.000
```

Computed properties:
symmetry = P4/mmm, No. 123
ΔH_f (0 K) = 0.878 eV per atom

***

This record from Alexandria via LeMat-Bulk describes a relaxed V2PPbC crystal. The functional is PBE. Values from VASP.

The structure in Quantum ESPRESSO input format:
```
&SYSTEM
  ibrav = 0, nat = 5, ntyp = 4
/
ATOMIC_SPECIES
Pb 207.20 Pb.upf
V 50.94 V.upf
C 12.01 C.upf
P 30.97 P.upf
CELL_PARAMETERS angstrom
4.346 0.000 0.000
0.000 5.396 0.000
0.000 0.000 4.346
ATOMIC_POSITIONS crystal
Pb 0.000 0.500 0.000
V 0.500 0.000 0.000
C 0.500 0.500 0.500
P 0.000 0.000 0.000
V 0.000 0.000 0.500
```

Computed properties:
symmetry = P4/mmm, No. 123
ΔH_f (0 K) = 1.752 eV per atom

***

This record from Alexandria via LeMat-Bulk describes a relaxed PPd2C crystal. The functional is PBE. Values from VASP.

The structure in Quantum ESPRESSO input format:
```
&SYSTEM
  ibrav = 0, nat = 8, ntyp = 3
/
ATOMIC_SPECIES
C 12.01 C.upf
P 30.97 P.upf
Pd 106.42 Pd.upf
CELL_PARAMETERS angstrom
-3.628 -3.022 0.076
0.368 -0.559 -4.674
1.967 -6.088 -1.502
ATOMIC_POSITIONS crystal
C 0.500 0.500 0.000
P 0.000 0.000 0.000
C 0.250 0.750 0.500
Pd 0.557 0.125 0.250
Pd 0.875 0.807 0.750
P 0.750 0.250 0.500
Pd 0.193 0.625 0.250
Pd 0.375 0.443 0.750
```

Computed properties:
symmetry = I-42d, No. 122
ΔH_f (0 K) = 0.540 eV per atom
energy above the most stable polymorph in this dataset = 0.00 kcal/mol of atoms

***

This record from Alexandria via LeMat-Bulk describes a relaxed PPdC2 crystal. The functional is PBE. Values from VASP.

The structure in Quantum ESPRESSO input format:
```
&SYSTEM
  ibrav = 0, nat = 8, ntyp = 3
/
ATOMIC_SPECIES
C 12.01 C.upf
P 30.97 P.upf
Pd 106.42 Pd.upf
CELL_PARAMETERS angstrom
4.642 0.000 0.000
0.000 4.642 0.000
2.321 2.321 4.137
ATOMIC_POSITIONS crystal
C 0.185 0.625 0.250
C 0.875 0.815 0.750
P 0.500 0.500 0.000
C 0.375 0.435 0.750
Pd 0.750 0.250 0.500
C 0.565 0.125 0.250
Pd 0.000 0.000 0.000
P 0.250 0.750 0.500
```

Computed properties:
symmetry = I-42d, No. 122
ΔH_f (0 K) = 0.691 eV per atom

***

This record from Alexandria via LeMat-Bulk describes a relaxed PPd2C crystal. The functional is PBE. Values from VASP.

The structure in Quantum ESPRESSO input format:
```
&SYSTEM
  ibrav = 0, nat = 4, ntyp = 3
/
ATOMIC_SPECIES
P 30.97 P.upf
C 12.01 C.upf
Pd 106.42 Pd.upf
CELL_PARAMETERS angstrom
0.708 -3.653 -1.871
-3.114 -1.999 -1.912
-0.068 -0.259 -4.157
ATOMIC_POSITIONS crystal
P 0.500 0.500 0.500
C 0.000 0.000 0.000
Pd 0.750 0.750 0.750
Pd 0.250 0.250 0.250
```

Computed properties:
symmetry = Fm-3m, No. 225
ΔH_f (0 K) = 0.908 eV per atom
energy above the most stable polymorph in this dataset = 8.48 kcal/mol of atoms

***

This record from Alexandria via LeMat-Bulk describes a relaxed PPdPtC2 crystal. The functional is PBE. Values from VASP.

The structure in Quantum ESPRESSO input format:
```
&SYSTEM
  ibrav = 0, nat = 5, ntyp = 4
/
ATOMIC_SPECIES
P 30.97 P.upf
Pt 195.08 Pt.upf
C 12.01 C.upf
Pd 106.42 Pd.upf
CELL_PARAMETERS angstrom
-0.757 -3.737 -0.120
0.802 -0.339 5.528
-3.699 0.730 0.582
ATOMIC_POSITIONS crystal
P 0.000 0.500 0.000
Pt 0.000 0.000 0.000
C 0.500 0.000 0.000
Pd 0.500 0.500 0.500
C 0.000 0.000 0.500
```

Computed properties:
symmetry = P4/mmm, No. 123
ΔH_f (0 K) = 1.622 eV per atom

***

This record from Alexandria via LeMat-Bulk describes a relaxed PPdRuC crystal. The functional is PBE. Values from VASP.

The structure in Quantum ESPRESSO input format:
```
&SYSTEM
  ibrav = 0, nat = 4, ntyp = 4
/
ATOMIC_SPECIES
C 12.01 C.upf
Ru 101.07 Ru.upf
Pd 106.42 Pd.upf
P 30.97 P.upf
CELL_PARAMETERS angstrom
-2.134 -1.062 1.576
1.834 -1.844 1.240
1.747 4.557 4.191
ATOMIC_POSITIONS crystal
C 0.064 0.000 0.849
Ru 0.575 0.500 0.934
Pd 0.240 0.000 0.539
P 0.654 0.500 0.298
```

Computed properties:
symmetry = Pm, No. 6
ΔH_f (0 K) = 0.278 eV per atom
energy above the most stable polymorph in this dataset = 4.88 kcal/mol of atoms

***

This record from Alexandria via LeMat-Bulk describes a relaxed PPdRuC crystal. The functional is PBE. Values from VASP.

The structure in Quantum ESPRESSO input format:
```
&SYSTEM
  ibrav = 0, nat = 8, ntyp = 4
/
ATOMIC_SPECIES
P 30.97 P.upf
C 12.01 C.upf
Pd 106.42 Pd.upf
Ru 101.07 Ru.upf
CELL_PARAMETERS angstrom
6.087 0.000 -0.003
0.000 2.860 0.000
-0.522 0.000 6.388
ATOMIC_POSITIONS crystal
P 0.226 0.000 0.732
C 0.995 0.000 0.879
Pd 0.519 0.000 0.218
Pd 0.519 0.500 0.718
C 0.995 0.500 0.379
Ru 0.880 0.000 0.564
Ru 0.880 0.500 0.064
P 0.226 0.500 0.232
```

Computed properties:
symmetry = Cm, No. 8
ΔH_f (0 K) = 0.294 eV per atom
energy above the most stable polymorph in this dataset = 5.23 kcal/mol of atoms

***

This record from Alexandria via LeMat-Bulk describes a relaxed PPdRuC crystal. The functional is PBE. Values from VASP.

The structure in Quantum ESPRESSO input format:
```
&SYSTEM
  ibrav = 0, nat = 8, ntyp = 4
/
ATOMIC_SPECIES
Pd 106.42 Pd.upf
Ru 101.07 Ru.upf
C 12.01 C.upf
P 30.97 P.upf
CELL_PARAMETERS angstrom
-2.929 -5.001 -2.353
2.556 -1.069 -0.909
0.670 -2.716 5.078
ATOMIC_POSITIONS crystal
Pd 0.570 0.000 0.327
Ru 0.981 0.000 0.495
C 0.825 0.500 0.308
P 0.244 0.000 0.810
P 0.244 0.500 0.310
Pd 0.570 0.500 0.827
C 0.825 0.000 0.808
Ru 0.981 0.500 0.995
```

Computed properties:
symmetry = Cm, No. 8
ΔH_f (0 K) = 0.301 eV per atom
energy above the most stable polymorph in this dataset = 5.41 kcal/mol of atoms

***

This record from Alexandria via LeMat-Bulk describes a relaxed PPdRuC crystal. The functional is PBE. Values from VASP.

The structure in Quantum ESPRESSO input format:
```
&SYSTEM
  ibrav = 0, nat = 4, ntyp = 4
/
ATOMIC_SPECIES
P 30.97 P.upf
C 12.01 C.upf
Pd 106.42 Pd.upf
Ru 101.07 Ru.upf
CELL_PARAMETERS angstrom
3.352 0.000 0.000
-1.676 2.903 0.000
0.000 0.000 5.979
ATOMIC_POSITIONS crystal
P 0.333 0.667 0.297
C 0.000 0.000 0.888
Pd 0.000 0.000 0.521
Ru 0.333 0.667 0.915
```

Computed properties:
symmetry = P3m1, No. 156
ΔH_f (0 K) = 0.067 eV per atom
energy above the most stable polymorph in this dataset = 0.00 kcal/mol of atoms

***

This record from Alexandria via LeMat-Bulk describes a relaxed PPdRuC crystal. The functional is PBE. Values from VASP.

The structure in Quantum ESPRESSO input format:
```
&SYSTEM
  ibrav = 0, nat = 8, ntyp = 4
/
ATOMIC_SPECIES
P 30.97 P.upf
C 12.01 C.upf
Pd 106.42 Pd.upf
Ru 101.07 Ru.upf
CELL_PARAMETERS angstrom
5.393 0.000 -0.021
0.000 3.015 0.000
-2.846 0.000 6.480
ATOMIC_POSITIONS crystal
P 0.282 0.500 0.454
C 0.995 0.500 0.960
Pd 0.583 0.500 0.817
C 0.995 0.000 0.460
Ru 0.026 0.000 0.181
P 0.282 0.000 0.954
Pd 0.583 0.000 0.317
Ru 0.026 0.500 0.681
```

Computed properties:
symmetry = Cm, No. 8
ΔH_f (0 K) = 0.366 eV per atom
energy above the most stable polymorph in this dataset = 6.91 kcal/mol of atoms

***

This record from Alexandria via LeMat-Bulk describes a relaxed PPdRuC crystal. The functional is PBE. Values from VASP.

The structure in Quantum ESPRESSO input format:
```
&SYSTEM
  ibrav = 0, nat = 8, ntyp = 4
/
ATOMIC_SPECIES
Pd 106.42 Pd.upf
P 30.97 P.upf
C 12.01 C.upf
Ru 101.07 Ru.upf
CELL_PARAMETERS angstrom
3.423 0.000 0.000
0.000 2.973 0.000
0.000 0.000 9.392
ATOMIC_POSITIONS crystal
Pd 0.500 0.000 0.176
P 0.000 0.500 0.962
P 0.500 0.000 0.462
C 0.500 0.000 0.651
C 0.000 0.500 0.151
Ru 0.000 0.500 0.371
Pd 0.000 0.500 0.676
Ru 0.500 0.000 0.871
```

Computed properties:
symmetry = Imm2, No. 44
ΔH_f (0 K) = 0.181 eV per atom
energy above the most stable polymorph in this dataset = 2.63 kcal/mol of atoms